Computed, not measured: HoMgNiHg after structural relaxation at the PBE level of DFT.

DFT formation energy (kJ/mol of formula units): -108.0
Energy (eV for the cell shown): -53.498
Volume (Å³/f.u.): 80

Unit cell a=6.840 b=6.840 c=6.840 alpha=90.00 beta=90.00 gamma=90.00
Space group F-43m (No. 216)
One atom of each set of equivalent atoms:
1 Ho 0.000 0.000 0.000 [4 per cell]
2 Mg 0.000 0.000 0.500 [4 per cell]
3 Ni 0.250 0.250 0.250 [4 per cell]
4 Hg 0.250 0.250 0.750 [4 per cell]